A relaxed structure of CaNiBr2. Source: Alexandria via LeMat-Bulk, functional PBE-GGA.

Lattice parameters (Å, degrees): 3.5950 3.5950 6.8496 90.00 90.00 90.00
Closest atoms and distances in Å follow each position.
Space group P4/mmm (No. 123)
Asymmetric unit:
Ca 0.0000 0.0000 0.0000 [1 per cell]  8 Br 3.07, 2 Ni 3.42
Ni 0.0000 0.0000 0.5000 [1 per cell]  8 Br 3.06, 2 Ca 3.42
Br 0.5000 0.5000 0.2506 [2 per cell]  4 Ni 3.06, 4 Ca 3.07, 1 Br 3.42


A relaxed structure of CaNiBr2. Source: Alexandria via LeMat-Bulk, functional PBE-GGA.

Lattice parameters (Å, degrees): 3.9182 7.7284 7.3729 90.00 90.00 90.00
Closest atoms and distances in Å follow each position.
Space group Cmmm (No. 65)
Asymmetric unit:
Ca 0.0000 0.0000 0.0000 [2 per cell]  4 Br 2.86
Ni 0.0000 0.0000 0.5000 [2 per cell]  4 Br 2.54
Br 0.0000 0.5000 0.2817 [4 per cell]  2 Ni 2.54


A relaxed structure of CaNiBr2. Source: Alexandria via LeMat-Bulk, functional PBE-GGA.

Lattice parameters (Å, degrees): 5.9318 6.1709 6.8027 107.24 112.18 97.54
Closest atoms and distances in Å follow each position.
Space group P1 (No. 1)
Asymmetric unit:
Ca 0.0000 0.0000 0.0000 [1 per cell]  2 Ni 2.84-3.11, 6 Br 2.92-3.13
Ca 0.2149 0.7607 0.4736 [1 per cell]  2 Ni 2.83-3.10, 6 Br 2.92-3.14
Ni 0.3918 0.7719 0.1009 [1 per cell]  2 Br 2.29-2.32, 1 Ni 2.44
Ni 0.8280 0.9911 0.3774 [1 per cell]  2 Br 2.29-2.31, 1 Ni 2.44
Br 0.0184 0.4911 0.9838 [1 per cell]  1 Ni 2.32
Br 0.1985 0.2714 0.4898 [1 per cell]  1 Ni 2.31
Br 0.5026 0.0586 0.9776 [1 per cell]  1 Ni 2.29
Br 0.7110 0.7016 0.4944 [1 per cell]  1 Ni 2.29


A relaxed structure of CaNiBr2. Source: Alexandria via LeMat-Bulk, functional PBE-GGA.

Lattice parameters (Å, degrees): 5.4667 5.4667 14.1469 90.00 90.00 90.00
Closest atoms and distances in Å follow each position.
Space group I-42d (No. 122)
Asymmetric unit:
Ca 0.0000 0.0000 0.0000 [4 per cell]  4 Br 2.80
Ni 0.0000 0.0000 0.5000 [4 per cell]  4 Br 2.47
Br 0.1907 0.2500 0.6250 [8 per cell]  2 Ni 2.47


A relaxed structure of CaNiBr2. Source: Alexandria via LeMat-Bulk, functional PBE-GGA.

Lattice parameters (Å, degrees): 7.0224 7.0224 7.0224 90.00 90.00 90.00
Closest atoms and distances in Å follow each position.
Space group Fm-3m (No. 225)
Asymmetric unit:
Ca 0.0000 0.0000 0.0000 [4 per cell]  8 Br 3.04
Ni 0.0000 0.0000 0.5000 [4 per cell]  8 Br 3.04
Br 0.2500 0.2500 0.2500 [8 per cell]  4 Ni 3.04, 4 Ca 3.04


A relaxed structure of CaNiBr2. Source: Alexandria via LeMat-Bulk, functional PBE-GGA.

Lattice parameters (Å, degrees): 4.8019 4.8019 3.7196 90.00 90.00 90.00
Closest atoms and distances in Å follow each position.
Space group P4/mmm (No. 123)
Asymmetric unit:
Ca 0.0000 0.0000 0.0000 [1 per cell]  8 Br 3.04, 4 Ni 3.40
Ni 0.5000 0.5000 0.0000 [1 per cell]  8 Br 3.04, 4 Ca 3.40
Br 0.0000 0.5000 0.5000 [2 per cell]  4 Ni 3.04, 4 Ca 3.04, 4 Br 3.40


A relaxed structure of CaNiBr2. Source: Alexandria via LeMat-Bulk, functional PBE-GGA.

Lattice parameters (Å, degrees): 3.6449 3.8139 15.1818 90.00 90.00 90.00
Closest atoms and distances in Å follow each position.
Space group Imm2 (No. 44)
Asymmetric unit:
Ca 0.0000 0.0000 0.0000 [2 per cell]  2 Ni 2.88, 6 Br 2.96-2.99
Ni 0.0000 0.5000 0.6466 [2 per cell]  4 Br 2.64, 2 Ca 2.88
Br 0.0000 0.0000 0.4073 [2 per cell]  4 Ca 2.99
Br 0.0000 0.5000 0.1495 [2 per cell]  4 Ni 2.64


Q: Which uncorrected formation energy values were calculated for the entries above? A: -0.4198 -0.4952 -0.9294 -0.7115 -0.5577 -0.5424 -0.7840, in eV per atom.